Entry from Alexandria via LeMat-Bulk: a relaxed structure of LiInFe (PBE-GGA).

DFT total energy: -12.5 eV per formula unit
V: 16.203 Å³ per atom
DOS at the Fermi energy: 1.280 states/eV per atom
Total magnetization: 4.968 μB/cell
E_form: 0.57 eV/f.u.

CIF file:
```
data_LiInFe
_space_group_name_H-M_alt 'I m m 2'
_space_group_IT_number 44
_cell_length_a 2.829
_cell_length_b 4.090
_cell_length_c 8.402
_cell_angle_alpha 90.00
_cell_angle_beta 90.00
_cell_angle_gamma 90.00
loop_
_space_group_symop_operation_xyz
'x,y,z'
'-x,-y,z'
'-x,y,z'
'x,-y,z'
'x+1/2,y+1/2,z+1/2'
'-x+1/2,-y+1/2,z+1/2'
'-x+1/2,y+1/2,z+1/2'
'x+1/2,-y+1/2,z+1/2'
loop_
_atom_site_label
_atom_site_type_symbol
_atom_site_fract_x
_atom_site_fract_y
_atom_site_fract_z
_atom_site_occupancy
Li1 Li 0.000 0.000 0.000 1
In1 In 0.000 0.000 0.330 1
Fe1 Fe 0.000 0.000 0.665 1
```